(1)
This record from the Alexandria database describes Mg2OsPt after structural relaxation. The functional is GGA-PBE.

Calculated values
The formation energy is -204 meV per atom. The value obtained for the density of states at the Fermi level is 0.278 states/eV per atom. As for the total energy: -42.6 eV for the cell shown. The volume comes out at 15.79 Å³ per atom.

Lattice parameters (Å, degrees): 5.7954 7.9356 2.7468 90.00 90.00 90.00
Space group Cmmm (No. 65)
Symmetry-distinct sites (fractional):
1 Mg 0.2500 0.2500 0.0000
2 Os 0.0000 0.0000 0.5000
3 Pt 0.0000 0.5000 0.5000



(2)
This record from the Alexandria database describes Mg2OsPt after structural relaxation. The functional is GGA-PBE.

Calculated values
The formation energy is -19 meV per atom. The value obtained for the density of states at the Fermi level is 0.978 states/eV per atom. As for the total energy: -41.1 eV for the cell shown. The volume comes out at 15.91 Å³ per atom.

Lattice parameters (Å, degrees): 3.8924 3.8924 8.3998 90.00 90.00 90.00
Space group I-4m2 (No. 119)
Symmetry-distinct sites (fractional):
1 Mg 0.0000 0.0000 0.0000
2 Mg 0.0000 0.5000 0.2500
3 Os 0.0000 0.5000 0.7500
4 Pt 0.0000 0.0000 0.5000



(3)
This record from the Alexandria database describes MgOs3Pt after structural relaxation. The functional is GGA-PBE.

Calculated values
The formation energy is 2256 meV per atom. The value obtained for the density of states at the Fermi level is 1.584 states/eV per atom. As for the total energy: -30.0 eV for the cell shown. The energy above the most stable polymorph in this dataset is 0.000 eV/atom. The volume comes out at 21.73 Å³ per atom.

Lattice parameters (Å, degrees): 4.7717 4.7717 4.7717 90.00 90.00 90.00
Space group Pm-3m (No. 221)
Symmetry-distinct sites (fractional):
1 Mg 0.0000 0.0000 0.0000
2 Os 0.0000 0.5000 0.5000
3 Pt 0.5000 0.5000 0.5000



(4)
This record from the Alexandria database describes Mg2OsPt after structural relaxation. The functional is GGA-PBE.

Calculated values
The formation energy is -208 meV per atom. The value obtained for the density of states at the Fermi level is 0.875 states/eV per atom. As for the total energy: -21.3 eV for the cell shown. The volume comes out at 15.74 Å³ per atom.

Lattice parameters (Å, degrees): 2.8369 2.8369 7.8224 90.00 90.00 90.00
Space group P4/mmm (No. 123)
Symmetry-distinct sites (fractional):
1 Mg 0.0000 0.0000 0.2441
2 Os 0.5000 0.5000 0.5000
3 Pt 0.5000 0.5000 0.0000



(5)
This record from the Alexandria database describes MgOsPt2 after structural relaxation. The functional is GGA-PBE.

Calculated values
The formation energy is -70 meV per atom. The value obtained for the density of states at the Fermi level is 1.004 states/eV per atom. As for the total energy: -75.6 eV for the cell shown. The volume comes out at 15.43 Å³ per atom.

Lattice parameters (Å, degrees): 2.8011 2.8011 27.2496 90.00 90.00 120.00
Space group R3m (No. 160, hexagonal axes)
Symmetry-distinct sites (fractional):
1 Mg 0.0000 0.0000 0.0000
2 Os 0.0000 0.0000 0.2490
3 Pt 0.0000 0.0000 0.5019
4 Pt 0.0000 0.0000 0.7475



(6)
This record from the Alexandria database describes Mg2OsPt after structural relaxation. The functional is GGA-PBE.

Calculated values
The formation energy is -114 meV per atom. The value obtained for the density of states at the Fermi level is 0.425 states/eV per atom. As for the total energy: -41.8 eV for the cell shown. The volume comes out at 15.78 Å³ per atom.

Lattice parameters (Å, degrees): 5.7204 8.7248 2.7337 90.00 112.27 90.00
Space group C2/m (No. 12)
Symmetry-distinct sites (fractional):
1 Mg 0.2500 0.2500 0.0000
2 Os 0.0000 0.0000 0.5000
3 Pt 0.0000 0.5000 0.5000